(1)
DFT (GGA-PBE) results for crystalline KP3Rh at its relaxed geometry.

Values from the calculation:
relative energy among the computed polymorphs: 0.0 meV/atom
ρ: 3.6 g/cm3
total moment: 0.0 Bohr magnetons per cell
calculated volume: 21.557 Å³/atom
energy relative to the elements: 0.357 eV/atom

a = 4.7590 Å, b = 4.7590 Å, c = 4.7590 Å
α = 90.00°, β = 90.00°, γ = 90.00°
Space group Pm-3m (No. 221)
Unique sites:
K  0.0000  0.0000  0.0000
P  0.0000  0.5000  0.5000
Rh  0.5000  0.5000  0.5000



(2)
DFT (GGA-PBE) results for crystalline Sr2LiScB4O10 at its relaxed geometry.

Values from the calculation:
ρ: 3.4 g/cm3
total moment: 0.3 Bohr magnetons per cell
calculated volume: 11.535 Å³/atom
raw formation energy: -2791 meV per atom

a = 12.7599 Å, b = 5.2748 Å, c = 13.9282 Å
α = 90.00°, β = 117.64°, γ = 90.00°
Space group P2_1/c (No. 14)
Unique sites:
Sr  0.0277  0.0670  0.3764
Sr  0.3284  0.1180  0.6483
Li  0.4787  0.6036  0.5997
Sc  0.2473  0.5682  0.3832
B  0.1431  0.6100  0.5507
B  0.1443  0.0585  0.2290
B  0.3722  0.0794  0.4503
B  0.3969  0.6399  0.7961
O  0.1269  0.6621  0.7716
O  0.1282  0.6391  0.0605
O  0.1412  0.2124  0.7741
O  0.1433  0.0038  0.9619
O  0.1583  0.0691  0.1344
O  0.3410  0.6318  0.9884
O  0.3631  0.6261  0.3149
O  0.3770  0.1858  0.9951
O  0.3991  0.0727  0.3619
O  0.4298  0.5921  0.7182



(3)
DFT (GGA-PBE) results for crystalline YEr at its relaxed geometry.

Values from the calculation:
relative energy among the computed polymorphs: 0.0 meV/atom
ρ: 6.7 g/cm3
total moment: 0.0 Bohr magnetons per cell
calculated volume: 31.798 Å³/atom
energy relative to the elements: 0.004 eV/atom

a = 3.6146 Å, b = 3.6146 Å, c = 5.6206 Å
α = 90.00°, β = 90.00°, γ = 120.00°
Space group P-6m2 (No. 187)
Unique sites:
Y  0.0000  0.0000  0.0000
Er  0.3333  0.6667  0.5000